## MgAlZn2 (GGA-PBE)

Data for a geometry-optimized MgAlZn2 structure.

Lattice parameters (Å, degrees): 4.800 4.800 5.310 101.00 101.00 35.02
Fractional coordinates of all 4 atoms:
Mg 0.000 0.000 0.000
Al 0.500 0.500 0.500
Zn 0.247 0.247 0.737
Zn 0.753 0.753 0.263

Results
Energy = -1.97 eV/atom
Crystal system = monoclinic
Energy of formation = 0.000 eV per atom
Total moment = 0.00 μB/f.u.